VASP calculation (PBE) on a geometry-optimized LiNd2CuAu6 structure.

abc: 6.859 6.921 6.866
angles: 77.95 46.91 95.99
Sites, in units of the cell vectors:
Au 0.229 0.233 0.494
Au 0.771 0.767 0.506
Li 0.500 0.500 0.000
Au 0.272 0.767 0.007
Nd 0.743 0.211 0.531
Nd 0.257 0.789 0.469
Au 0.728 0.233 0.993
Au 0.751 0.601 0.151
Cu 0.000 0.000 0.000
Au 0.249 0.399 0.849

The formation energy from the elements is -435.8 meV per atom. The symmetry is P-1, No. 2.

VASP calculation (PBE) on a geometry-optimized LiNdCuAu structure.

abc: 4.907 4.907 4.907
angles: 60.00 60.00 60.00
Sites, in units of the cell vectors:
Cu 0.500 0.500 0.500
Au 0.000 0.000 0.000
Li 0.250 0.250 0.250
Nd 0.750 0.750 0.750

The formation energy from the elements is -346.5 meV per atom. The symmetry is F-43m, No. 216.

VASP calculation (PBE) on a geometry-optimized LiCuAuO2 structure.

abc: 6.774 6.774 6.774
angles: 28.31 28.31 28.31
Sites, in units of the cell vectors:
Cu 0.470 0.470 0.470
O 0.909 0.909 0.909
O 0.121 0.121 0.121
Au 0.012 0.012 0.012
Li 0.237 0.237 0.237

The symmetry is R3m, No. 160. The calculation puts the energy above the most stable polymorph in this dataset at 0.036 eV per atom. Its energy relative to the elements, uncorrected is -3.36 eV per formula unit.

VASP calculation (PBE) on a geometry-optimized LiCuAuO4 structure.

abc: 5.669 6.309 6.225
angles: 119.56 90.00 116.70
Each line ends with the local moment (μB).
Sites, in units of the cell vectors:
Au 0.500 0.000 0.000  0.01
O 0.718 0.436 0.257  0.15
O 0.282 0.564 0.321  0.15
O 0.282 0.564 0.743  0.15
Cu 0.000 0.500 0.500  0.46
O 0.719 0.963 0.232  0.00
O 0.281 0.037 0.768  0.00
Cu 0.500 0.500 0.500  0.46
O 0.245 0.963 0.232  0.00
O 0.718 0.436 0.679  0.15
Li 0.166 0.333 0.916  0.00
Au 0.500 0.000 0.500  0.01
Li 0.834 0.667 0.084  0.00
O 0.755 0.037 0.768  0.00

The symmetry is Imma, No. 74. Its energy relative to the elements, uncorrected is -3.80 eV per formula unit.